Record 1
# AcCoB, optimized geometry, DFT PBE
data_AcCoB
_chemical_formula_sum 'Ac1 Co1 B1'
_cell_length_a 4.376
_cell_length_b 4.376
_cell_length_c 4.376
_cell_angle_alpha 60.00
_cell_angle_beta 60.00
_cell_angle_gamma 60.00
_symmetry_space_group_name_H-M 'P 1'
_symmetry_Int_Tables_number 1
loop_
_symmetry_equiv_pos_as_xyz
'x,y,z'
loop_
_atom_site_label
_atom_site_fract_x
_atom_site_fract_y
_atom_site_fract_z
_atom_site_occupancy
Ac1 0.250 0.250 0.250 1
Co1 0.000 0.000 0.000 1
B1 0.750 0.750 0.750 1
# offset from the most stable computed form = 109 meV per atom
# space-group type = F-43m, No. 216

---

Record 2
# AcCoB4, optimized geometry, DFT PBE
data_AcCoB4
_chemical_formula_sum 'Ac1 Co1 B4'
_cell_length_a 5.292
_cell_length_b 5.292
_cell_length_c 5.292
_cell_angle_alpha 145.33
_cell_angle_beta 119.14
_cell_angle_gamma 71.98
_symmetry_space_group_name_H-M 'P 1'
_symmetry_Int_Tables_number 1
loop_
_symmetry_equiv_pos_as_xyz
'x,y,z'
loop_
_atom_site_label
_atom_site_fract_x
_atom_site_fract_y
_atom_site_fract_z
_atom_site_occupancy
B1 0.417 0.754 0.663 1
B2 0.910 0.246 0.663 1
Co1 0.500 0.500 0.000 1
B3 0.583 0.246 0.337 1
B4 0.090 0.754 0.337 1
Ac1 0.000 0.000 0.000 1
# offset from the most stable computed form = 336 meV per atom
# space-group type = Immm, No. 71

---

Record 3
# AcCoB, optimized geometry, DFT PBE
data_AcCoB
_chemical_formula_sum 'Ac1 Co1 B1'
_cell_length_a 4.400
_cell_length_b 4.400
_cell_length_c 4.400
_cell_angle_alpha 60.00
_cell_angle_beta 60.00
_cell_angle_gamma 60.00
_symmetry_space_group_name_H-M 'P 1'
_symmetry_Int_Tables_number 1
loop_
_symmetry_equiv_pos_as_xyz
'x,y,z'
loop_
_atom_site_label
_atom_site_fract_x
_atom_site_fract_y
_atom_site_fract_z
_atom_site_occupancy
B1 0.000 0.000 0.000 1
Ac1 0.250 0.250 0.250 1
Co1 0.750 0.750 0.750 1
# offset from the most stable computed form = 0 meV per atom
# space-group type = F-43m, No. 216

---

Record 4
# AcCuB, optimized geometry, DFT PBE
data_AcCuB
_chemical_formula_sum 'Ac1 Cu1 B1'
_cell_length_a 4.485
_cell_length_b 4.485
_cell_length_c 4.485
_cell_angle_alpha 60.00
_cell_angle_beta 60.00
_cell_angle_gamma 60.00
_symmetry_space_group_name_H-M 'P 1'
_symmetry_Int_Tables_number 1
loop_
_symmetry_equiv_pos_as_xyz
'x,y,z'
loop_
_atom_site_label
_atom_site_fract_x
_atom_site_fract_y
_atom_site_fract_z
_atom_site_occupancy
Cu1 0.750 0.750 0.750 1
Ac1 0.250 0.250 0.250 1
B1 0.000 0.000 0.000 1
# offset from the most stable computed form = 0 meV per atom
# space-group type = F-43m, No. 216

---

Record 5
# AcCuB, optimized geometry, DFT PBE
data_AcCuB
_chemical_formula_sum 'Ac1 Cu1 B1'
_cell_length_a 4.764
_cell_length_b 4.764
_cell_length_c 4.764
_cell_angle_alpha 60.00
_cell_angle_beta 60.00
_cell_angle_gamma 60.00
_symmetry_space_group_name_H-M 'P 1'
_symmetry_Int_Tables_number 1
loop_
_symmetry_equiv_pos_as_xyz
'x,y,z'
loop_
_atom_site_label
_atom_site_fract_x
_atom_site_fract_y
_atom_site_fract_z
_atom_site_occupancy
Ac1 0.000 0.000 0.000 1
B1 0.250 0.250 0.250 1
Cu1 0.750 0.750 0.750 1
# offset from the most stable computed form = 668 meV per atom
# space-group type = F-43m, No. 216

---

Record 6
# AcCu2B2, optimized geometry, DFT PBE
data_AcCu2B2
_chemical_formula_sum 'Ac1 Cu2 B2'
_cell_length_a 3.765
_cell_length_b 3.765
_cell_length_c 5.987
_cell_angle_alpha 108.32
_cell_angle_beta 108.32
_cell_angle_gamma 90.00
_symmetry_space_group_name_H-M 'P 1'
_symmetry_Int_Tables_number 1
loop_
_symmetry_equiv_pos_as_xyz
'x,y,z'
loop_
_atom_site_label
_atom_site_fract_x
_atom_site_fract_y
_atom_site_fract_z
_atom_site_occupancy
B1 0.661 0.661 0.322 1
Ac1 0.000 0.000 0.000 1
Cu1 0.750 0.250 0.500 1
Cu2 0.250 0.750 0.500 1
B2 0.339 0.339 0.678 1
# space-group type = I4/mmm, No. 139
# VASP energy = -4.830 eV per atom

---

Ρ across the listed records, respectively: 8.3 7.5 8.2 7.8 6.5 8.2 g cm⁻³.